A plane-wave DFT calculation with PBE was carried out for an optimized crystal structure of Sc2NiPd.

**D(E_F)**: 3.68 states/eV/cell
**E_tot**: -5.716 eV per atom
**Energy of formation from the pure elements**: 0.19 eV per atom

Cell lengths 5.7385, 5.7385, 5.7385 Å; angles 60.79, 150.48, 128.15 degrees
Sites, in units of the cell vectors:
Sc 0.0000 0.2417 0.2417
Sc 0.0000 0.7583 0.7583
Ni 0.0000 0.0000 0.0000
Pd 0.0000 0.5000 0.5000